1.
# PtPb4Au

An optimized crystal structure of PtPb4Au (PBE, Alexandria via LeMat-Bulk).

abc: 4.928 4.932 6.919
angles: 89.96 89.98 90.00
Fractional positions:
Pt1 0.001 0.997 0.498
Pb1 0.001 0.497 0.737
Pb2 0.501 0.998 0.737
Pb3 0.501 0.997 0.259
Pb4 0.001 0.497 0.259
Au1 0.501 0.497 0.998

Values from the calculation:
Space group ... No. 123
DFT formation energy ... -0.8 eV/f.u.



2.
# ZrNi2HgBi

An optimized crystal structure of ZrNi2HgBi (PBE, Alexandria via LeMat-Bulk).

abc: 4.761 5.553 4.761
angles: 90.00 90.00 90.00
Fractional positions:
Bi1 0.000 0.000 0.000
Hg1 0.500 0.500 0.500
Ni1 0.000 0.000 0.500
Ni2 0.500 0.000 0.000
Zr1 0.000 0.500 0.000

Values from the calculation:
Space group ... No. 123
DFT formation energy ... 4.5 eV/f.u.



3.
# TbSmAs2Rh5

An optimized crystal structure of TbSmAs2Rh5 (PBE, Alexandria via LeMat-Bulk).

abc: 4.258 4.258 8.835
angles: 90.00 90.00 90.00
Fractional positions:
Rh1 0.000 0.500 0.735
Rh2 0.500 0.500 0.500
Rh3 0.000 0.500 0.265
Rh4 0.500 0.000 0.735
Rh5 0.500 0.000 0.265
As1 0.500 0.500 0.147
As2 0.500 0.500 0.853
Sm1 0.000 0.000 0.500
Tb1 0.000 0.000 0.000

Values from the calculation:
Space group ... No. 123
DFT formation energy ... -6.9 eV/f.u.



| no. | ρ (kg/m³) |
| --- | --- |
| 1 | 12057 |
| 2 | 8157 |
| 3 | 10095 |